{
  "formula": "BePdSO",
  "functional": "PBE-GGA",
  "state": "relaxed",
  "lattice_angstrom": [[8.109, 0.000, 0.000], [0.000, 10.758, 0.000], [0.000, 0.000, 5.188]],
  "species": ["Pd", "Pd", "Pd", "Pd", "Pd", "Pd", "Pd", "Pd", "O", "O", "O", "O", "O", "O", "O", "O", "Be", "Be", "Be", "Be", "Be", "Be", "Be", "Be", "S", "S", "S", "S", "S", "S", "S", "S"],
  "fractional_positions": [[0.136, 0.380, 0.110], [0.364, 0.880, 0.110], [0.636, 0.120, 0.890], [0.136, 0.120, 0.610], [0.864, 0.620, 0.890], [0.364, 0.620, 0.610], [0.636, 0.380, 0.390], [0.864, 0.880, 0.390], [0.230, 0.771, 0.426], [0.730, 0.729, 0.574], [0.770, 0.229, 0.574], [0.270, 0.271, 0.426], [0.730, 0.771, 0.074], [0.270, 0.229, 0.926], [0.230, 0.729, 0.926], [0.770, 0.271, 0.074], [0.168, 0.690, 0.198], [0.832, 0.190, 0.302], [0.332, 0.190, 0.198], [0.668, 0.810, 0.802], [0.668, 0.690, 0.302], [0.332, 0.310, 0.698], [0.832, 0.310, 0.802], [0.168, 0.810, 0.698], [0.507, 0.051, 0.250], [0.993, 0.551, 0.250], [0.993, 0.949, 0.750], [0.007, 0.051, 0.250], [0.007, 0.449, 0.750], [0.507, 0.449, 0.750], [0.493, 0.551, 0.250], [0.493, 0.949, 0.750]],
  "sg": "Pbca, No. 61",
  "dft_energy_ev_per_atom": -5.50,
  "crystal_system": "orthorhombic"
}